## Rb3CaAs (PBE-GGA)

Data for a geometry-optimized Rb3CaAs structure. Values from VASP.

Cell and atoms, written as Quantum ESPRESSO input:
```
&SYSTEM
  ibrav = 0, nat = 5, ntyp = 3
/
ATOMIC_SPECIES
Rb 85.47 Rb.upf
Ca 40.08 Ca.upf
As 74.92 As.upf
ATOMIC_POSITIONS crystal
Rb 0.000 0.000 0.500
Rb 0.000 0.500 0.000
Rb 0.500 0.000 0.000
Ca 0.500 0.500 0.500
As 0.000 0.000 0.000
CELL_PARAMETERS angstrom
6.832 0.000 0.000
0.000 6.832 0.000
0.000 0.000 6.832
```

Formation enthalpy at 0 K   0.46 eV per formula unit
Polymorph energy (0 for the lowest one)   0.0 kJ/mol of atoms
V   63.78 Å³ per atom
D(E_F)   0.076 states/eV per atom